(1)
# Zr4TlNiC2

A geometry-optimized Zr4TlNiC2 structure (GGA-PBE, the Open Quantum Materials Database).

a = 3.355 Å, b = 3.355 Å, c = 14.037 Å
α = 90.00°, β = 90.00°, γ = 120.00°
Atoms (fractional coordinates):
C1 0.333 0.667 0.768
Zr1 0.667 0.333 0.135
C2 0.333 0.667 0.232
Ni1 0.000 0.000 0.000
Zr2 0.667 0.333 0.865
Tl1 0.667 0.333 0.500
Zr3 0.000 0.000 0.682
Zr4 0.000 0.000 0.318

Values from the calculation:
Final energy = -8.113 eV/atom
Mass density = 7.9 Mg/m³

(2)
# Zr4TlNiC2

A geometry-optimized Zr4TlNiC2 structure (GGA-PBE, the Open Quantum Materials Database).

a = 3.352 Å, b = 3.352 Å, c = 14.049 Å
α = 90.00°, β = 90.00°, γ = 120.00°
Atoms (fractional coordinates):
Zr1 0.333 0.667 0.819
Ni1 0.333 0.667 0.500
Zr2 0.667 0.333 0.636
Tl1 0.667 0.333 0.000
C1 0.000 0.000 0.732
Zr3 0.667 0.333 0.364
C2 0.000 0.000 0.268
Zr4 0.333 0.667 0.181

Values from the calculation:
Final energy = -8.113 eV/atom
Mass density = 7.9 Mg/m³

(3)
# Tm4Ni13C4

A geometry-optimized Tm4Ni13C4 structure (GGA-PBE, the Open Quantum Materials Database).

a = 3.833 Å, b = 8.370 Å, c = 8.370 Å
α = 88.64°, β = 90.00°, γ = 90.00°
Atoms (fractional coordinates):
Tm1 0.500 0.186 0.186
Ni1 0.000 0.784 0.570
Ni2 0.000 0.075 0.709
Ni3 0.000 0.709 0.075
Ni4 0.500 0.124 0.876
Ni5 0.500 0.876 0.124
Ni6 0.000 0.430 0.216
Tm2 0.500 0.349 0.651
C1 0.000 0.443 0.443
C2 0.000 0.000 0.500
C3 0.000 0.557 0.557
Ni7 0.000 0.291 0.925
Ni8 0.000 0.925 0.291
Ni9 0.000 0.216 0.430
Ni10 0.500 0.500 0.000
C4 0.000 0.500 0.000
Ni11 0.500 0.000 0.500
Ni12 0.000 0.570 0.784
Ni13 0.000 0.000 0.000
Tm3 0.500 0.651 0.349
Tm4 0.500 0.814 0.814

Values from the calculation:
Final energy = -6.416 eV/atom
Mass density = 9.2 Mg/m³

(4)
# Ni2W4C

A geometry-optimized Ni2W4C structure (GGA-PBE, the Open Quantum Materials Database).

a = 8.018 Å, b = 8.018 Å, c = 8.018 Å
α = 120.00°, β = 90.00°, γ = 120.00°
Atoms (fractional coordinates):
W1 0.500 0.000 0.000
Ni1 0.625 0.417 0.208
C1 0.000 0.500 0.500
C2 0.000 0.500 0.000
W2 0.500 0.500 0.000
W3 0.066 0.632 0.816
W4 0.934 0.750 0.184
W5 0.000 0.000 0.000
W6 0.066 0.250 0.816
W7 0.066 0.250 0.434
W8 0.934 0.750 0.566
W9 0.316 0.132 0.566
Ni2 0.292 0.083 0.208
W10 0.684 0.250 0.434
Ni3 0.708 0.917 0.125
Ni4 0.708 0.583 0.792
W11 0.316 0.750 0.184
Ni5 0.292 0.417 0.208
Ni6 0.375 0.583 0.792
W12 0.684 0.868 0.434
W13 0.934 0.368 0.184
W14 0.500 0.500 0.500
C3 0.500 0.000 0.500
W15 0.316 0.750 0.566
Ni7 0.292 0.083 0.875
W16 0.684 0.250 0.816
Ni8 0.708 0.917 0.792
C4 0.000 0.000 0.500

Values from the calculation:
Final energy = -10.401 eV/atom
Mass density = 15.8 Mg/m³